A geometry-optimized Ni2Ge2Rh structure, computed with PBE-GGA.

Computed properties:
electronic total energy = -5.9120 eV per atom
E above lowest polymorph = 0.000 eV per atom
DOS at the Fermi energy = 0.51 states/eV/atom
crystal system = tetragonal
E_form = -27 kJ/mol of atoms

Lattice parameters (Å, degrees): 6.714 6.714 2.937 90.00 90.00 90.00
Positions (direct):
Ni 0.137 0.637 0.500
Ni 0.637 0.863 0.500
Ni 0.863 0.363 0.500
Ni 0.363 0.137 0.500
Ge 0.343 0.843 0.000
Ge 0.843 0.657 0.000
Ge 0.657 0.157 0.000
Ge 0.157 0.343 0.000
Rh 0.000 0.000 0.000
Rh 0.500 0.500 0.000